(1)
Below is crystalline HfCr2 at its relaxed geometry, with properties calculated at the PBE level.

a = 5.0238 Å, b = 5.0238 Å, c = 16.3173 Å
α = 90.00°, β = 90.00°, γ = 120.00°
With the nearest neighbours (Å) after each atom.
Space group P6_3/mmc (No. 194)
Asymmetric unit:
1 Hf 0.0000 0.0000 0.0944 [4 per cell]  12 Cr 2.91-2.95, 4 Hf 3.07-3.08
2 Hf 0.3333 0.6667 0.1563 [4 per cell]  12 Cr 2.93-2.95, 4 Hf 3.06-3.07
3 Cr 0.0000 0.5000 0.0000 [6 per cell]  6 Cr 2.48-2.51
4 Cr 0.1646 0.3291 0.7500 [6 per cell]  6 Cr 2.48-2.54
5 Cr 0.3333 0.6667 0.6235 [4 per cell]  6 Cr 2.48-2.53

V = 14.86 Å³ per atom
E_form = -0.121 eV/atom
raw total energy = -9.8542 eV/atom

=====

(2)
Below is crystalline HfCr2 at its relaxed geometry, with properties calculated at the PBE level.

a = 7.0909 Å, b = 7.0909 Å, c = 7.0909 Å
α = 90.00°, β = 90.00°, γ = 90.00°
With the nearest neighbours (Å) after each atom.
Space group Fd-3m (No. 227, origin choice 2)
Asymmetric unit:
1 Hf 0.1250 0.1250 0.1250 [8 per cell]  12 Cr 2.94, 4 Hf 3.07
2 Cr 0.0000 0.0000 0.5000 [16 per cell]  6 Cr 2.51

V = 14.86 Å³ per atom
E_form = -0.121 eV/atom
raw total energy = -9.8540 eV/atom

=====

(3)
Below is crystalline HfCr at its relaxed geometry, with properties calculated at the PBE level.

a = 6.2681 Å, b = 8.7849 Å, c = 10.3019 Å
α = 90.00°, β = 90.00°, γ = 90.00°
With the nearest neighbours (Å) after each atom.
Space group Fddd (No. 70, origin choice 2)
Asymmetric unit:
1 Hf 0.1250 0.3244 0.1250 [16 per cell]  6 Cr 2.68-2.82
2 Cr 0.0336 0.3750 0.8750 [16 per cell]  1 Cr 1.99

V = 17.73 Å³ per atom
E_form = 0.494 eV/atom
raw total energy = -9.2940 eV/atom

=====

(4)
Below is crystalline HfCr at its relaxed geometry, with properties calculated at the PBE level.

a = 7.5277 Å, b = 7.5277 Å, c = 7.5277 Å
α = 90.00°, β = 90.00°, γ = 90.00°
With the nearest neighbours (Å) after each atom.
Space group I-43m (No. 217)
Asymmetric unit:
1 Hf 0.2133 0.2133 0.7867 [8 per cell]  1 Cr 2.28
2 Cr 0.1118 0.1118 0.1118 [8 per cell]  1 Hf 2.28, 3 Cr 2.38

V = 26.66 Å³ per atom
E_form = 1.695 eV/atom
raw total energy = -8.0930 eV/atom

=====

(5)
Below is crystalline HfCr at its relaxed geometry, with properties calculated at the PBE level.

a = 5.3301 Å, b = 5.3301 Å, c = 5.3301 Å
α = 90.00°, β = 90.00°, γ = 90.00°
With the nearest neighbours (Å) after each atom.
Space group Fm-3m (No. 225)
Asymmetric unit:
1 Hf 0.0000 0.0000 0.0000 [4 per cell]  6 Cr 2.67
2 Cr 0.0000 0.0000 0.5000 [4 per cell]  6 Hf 2.67

V = 18.93 Å³ per atom
E_form = 0.980 eV/atom
raw total energy = -8.8088 eV/atom

=====

(6)
Below is crystalline HfCrHg3 at its relaxed geometry, with properties calculated at the PBE level.

a = 5.4934 Å, b = 5.4934 Å, c = 5.4934 Å
α = 90.00°, β = 90.00°, γ = 90.00°
With the nearest neighbours (Å) after each atom.
Space group Pm-3m (No. 221)
Asymmetric unit:
1 Hf 0.0000 0.0000 0.0000 [1 per cell]  6 Hg 2.75
2 Cr 0.5000 0.5000 0.5000 [1 per cell]  12 Hg 3.88
3 Hg 0.0000 0.0000 0.5000 [3 per cell]  2 Hf 2.75

V = 33.16 Å³ per atom
E_form = 1.022 eV/atom
energy relative to the lowest polymorph listed for this composition = 0 meV/atom
raw total energy = -3.0741 eV/atom

=====

(7)
Below is crystalline HfCrHg2 at its relaxed geometry, with properties calculated at the PBE level.

a = 4.1315 Å, b = 4.1315 Å, c = 20.4653 Å
α = 90.00°, β = 90.00°, γ = 90.00°
With the nearest neighbours (Å) after each atom.
Space group I-42d (No. 122)
Asymmetric unit:
1 Hf 0.0000 0.0000 0.0000 [4 per cell]  4 Cr 2.92, 4 Hg 2.96
2 Cr 0.0000 0.0000 0.5000 [4 per cell]  4 Hf 2.92, 4 Hg 2.93
3 Hg 0.2409 0.2500 0.6250 [8 per cell]  4 Hg 2.87-2.97, 2 Cr 2.93, 2 Hf 2.96

V = 21.83 Å³ per atom
E_form = 0.577 eV/atom
energy relative to the lowest polymorph listed for this composition = 361 meV/atom
raw total energy = -4.4681 eV/atom

=====

(8)
Below is crystalline Hf3CrHg at its relaxed geometry, with properties calculated at the PBE level.

a = 4.8166 Å, b = 4.8166 Å, c = 4.8166 Å
α = 90.00°, β = 90.00°, γ = 90.00°
With the nearest neighbours (Å) after each atom.
Space group Pm-3m (No. 221)
Asymmetric unit:
1 Hf 0.0000 0.0000 0.5000 [3 per cell]  2 Cr 2.41
2 Cr 0.0000 0.0000 0.0000 [1 per cell]  6 Hf 2.41
3 Hg 0.5000 0.5000 0.5000 [1 per cell]  12 Hf 3.41

V = 22.35 Å³ per atom
E_form = 0.564 eV/atom
energy relative to the lowest polymorph listed for this composition = 0 meV/atom
raw total energy = -7.3934 eV/atom

=====

(9)
Below is crystalline Hf2CrHg2 at its relaxed geometry, with properties calculated at the PBE level.

a = 7.2712 Å, b = 7.2712 Å, c = 3.9745 Å
α = 90.00°, β = 90.00°, γ = 90.00°
With the nearest neighbours (Å) after each atom.
Space group P4/mbm (No. 127)
Asymmetric unit:
1 Hf 0.1700 0.3300 0.0000 [4 per cell]  6 Hg 2.81-3.00
2 Cr 0.0000 0.0000 0.5000 [2 per cell]  4 Hg 2.82
3 Hg 0.1372 0.6372 0.5000 [4 per cell]  6 Hf 2.81-3.00, 2 Cr 2.82, 1 Hg 2.82

V = 21.01 Å³ per atom
E_form = 0.270 eV/atom
energy relative to the lowest polymorph listed for this composition = 0 meV/atom
raw total energy = -5.7563 eV/atom

=====

(10)
Below is crystalline Hf2CrHg2 at its relaxed geometry, with properties calculated at the PBE level.

a = 3.9395 Å, b = 3.9395 Å, c = 13.9416 Å
α = 90.00°, β = 90.00°, γ = 90.00°
With the nearest neighbours (Å) after each atom.
Space group I4/mmm (No. 139)
Asymmetric unit:
1 Hf 0.0000 0.5000 0.2500 [4 per cell]  4 Hf 2.79, 4 Hg 2.93
2 Cr 0.0000 0.0000 0.0000 [2 per cell]  8 Hg 3.08
3 Hg 0.0000 0.0000 0.4055 [4 per cell]  1 Hg 2.63, 4 Hf 2.93

V = 21.64 Å³ per atom
E_form = 0.919 eV/atom
energy relative to the lowest polymorph listed for this composition = 649 meV/atom
raw total energy = -5.1078 eV/atom

=====

(11)
Below is crystalline HfCrHg2 at its relaxed geometry, with properties calculated at the PBE level.

a = 6.8244 Å, b = 6.8244 Å, c = 6.8244 Å
α = 90.00°, β = 90.00°, γ = 90.00°
With the nearest neighbours (Å) after each atom.
Space group Fm-3m (No. 225)
Asymmetric unit:
1 Hf 0.0000 0.0000 0.0000 [4 per cell]  8 Hg 2.96
2 Cr 0.0000 0.0000 0.5000 [4 per cell]  8 Hg 2.96
3 Hg 0.2500 0.2500 0.2500 [8 per cell]  4 Cr 2.96, 4 Hf 2.96

V = 19.86 Å³ per atom
E_form = 0.216 eV/atom
energy relative to the lowest polymorph listed for this composition = 0 meV/atom
raw total energy = -4.8292 eV/atom

=====

(12)
Below is crystalline HfCrIn2Hg at its relaxed geometry, with properties calculated at the PBE level.

a = 5.1558 Å, b = 5.1558 Å, c = 4.6672 Å
α = 90.00°, β = 90.00°, γ = 90.00°
With the nearest neighbours (Å) after each atom.
Space group P4/mmm (No. 123)
Asymmetric unit:
1 Hf 0.0000 0.0000 0.0000 [1 per cell]  2 Cr 2.33
2 Cr 0.0000 0.0000 0.5000 [1 per cell]  2 Hf 2.33, 4 In 2.58
3 In 0.0000 0.5000 0.5000 [2 per cell]  2 Cr 2.58
4 Hg 0.5000 0.5000 0.0000 [1 per cell]  8 In 3.48, 4 Hf 3.65

V = 24.81 Å³ per atom
E_form = 0.458 eV/atom
raw total energy = -4.6134 eV/atom